Record 1
Below is crystalline ThGa2Ge at its relaxed geometry, with properties calculated at the PBE-GGA level.

The structure in POSCAR format:
```
ThGa2Ge
1.0
4.344 0.000 0.000
0.000 4.344 0.000
0.000 0.000 4.571
Th Ga Ge
1 2 1
direct
0.000 0.000 0.000
0.000 0.500 0.500
0.500 0.000 0.500
0.500 0.500 0.000
```

Values from the calculation:
Energy relative to the lowest polymorph listed for this composition, meV per atom: 0
Total moment, μB/f.u.: 0.00
Energy of formation from the pure elements, kJ/mol of formula units: -185

***

Record 2
Below is crystalline TmThGaGe at its relaxed geometry, with properties calculated at the PBE-GGA level.

The structure in POSCAR format:
```
TmThGaGe
1.0
4.060 0.000 0.000
0.000 2.179 5.471
0.000 -2.179 5.471
Tm Th Ga Ge
1 1 1 1
direct
0.000 0.000 0.000
0.500 0.720 0.720
0.000 0.284 0.284
0.500 0.441 0.441
```

Values from the calculation:
Total moment, μB/f.u.: 0.00
Energy of formation from the pure elements, kJ/mol of formula units: -261

***

Record 3
Below is crystalline YThGaGe at its relaxed geometry, with properties calculated at the PBE-GGA level.

The structure in POSCAR format:
```
YThGaGe
1.0
4.080 0.000 0.000
0.000 2.195 5.513
0.000 -2.195 5.513
Y Th Ga Ge
1 1 1 1
direct
0.000 0.000 0.000
0.500 0.719 0.719
0.000 0.283 0.283
0.500 0.440 0.440
```

Values from the calculation:
Total moment, μB/f.u.: 0.00
Energy of formation from the pure elements, kJ/mol of formula units: -274

***

Record 4
Below is crystalline Ti2GaGe at its relaxed geometry, with properties calculated at the PBE-GGA level.

The structure in POSCAR format:
```
Ti2GaGe
1.0
4.014 0.000 0.000
0.000 4.014 0.000
0.000 0.000 3.917
Ti Ga Ge
2 1 1
direct
0.000 0.500 0.000
0.500 0.000 0.000
0.000 0.000 0.500
0.500 0.500 0.500
```

Values from the calculation:
Total moment, μB/f.u.: 0.00
Energy of formation from the pure elements, kJ/mol of formula units: -178

***

Record 5
Below is crystalline Ti7Ga5Ge at its relaxed geometry, with properties calculated at the PBE-GGA level.

The structure in POSCAR format:
```
Ti7Ga5Ge
1.0
-2.573 4.551 4.687
2.573 -4.551 4.687
2.573 4.551 -4.687
Ti Ga Ge
7 5 1
direct
0.000 0.000 0.000
0.261 0.261 0.000
0.271 0.618 0.653
0.446 0.117 0.329
0.788 0.117 0.671
0.851 0.351 0.500
0.966 0.618 0.347
0.120 0.123 0.500
0.120 0.620 0.997
0.375 0.875 0.500
0.622 0.123 0.003
0.622 0.620 0.500
0.691 0.691 0.000
```

Values from the calculation:
Total moment, μB/f.u.: 1.10
Energy of formation from the pure elements, kJ/mol of formula units: -284

***

Record 6
Below is crystalline Ti2GaGe at its relaxed geometry, with properties calculated at the PBE-GGA level.

The structure in POSCAR format:
```
Ti2GaGe
1.0
-3.518 3.518 2.776
3.518 -3.518 2.776
3.518 3.518 -2.776
Ti Ga Ge
4 2 2
direct
0.121 0.625 0.996
0.375 0.371 0.496
0.629 0.125 0.004
0.875 0.879 0.504
0.250 0.750 0.500
0.500 0.500 0.000
0.000 0.000 0.000
0.750 0.250 0.500
```

Values from the calculation:
Total moment, μB/f.u.: 0.00
Energy of formation from the pure elements, kJ/mol of formula units: -87

***

Record 7
Below is crystalline TiGaGe3 at its relaxed geometry, with properties calculated at the PBE-GGA level.

The structure in POSCAR format:
```
TiGaGe3
1.0
4.923 0.000 0.000
0.000 4.923 0.000
0.000 0.000 4.923
Ti Ga Ge
1 1 3
direct
0.000 0.000 0.000
0.500 0.500 0.500
0.000 0.000 0.500
0.000 0.500 0.000
0.500 0.000 0.000
```

Values from the calculation:
Energy relative to the lowest polymorph listed for this composition, meV per atom: 0
Total moment, μB/f.u.: 0.00
Energy of formation from the pure elements, kJ/mol of formula units: 121

***

Record 8
Below is crystalline Ti2Ga3Ge at its relaxed geometry, with properties calculated at the PBE-GGA level.

The structure in POSCAR format:
```
Ti2Ga3Ge
1.0
5.959 -1.870 0.000
5.959 1.870 0.000
-2.878 0.000 9.075
Ti Ga Ge
4 6 2
direct
0.029 0.029 0.353
0.269 0.269 0.626
0.731 0.731 0.374
0.971 0.971 0.647
0.171 0.171 0.160
0.180 0.180 0.879
0.498 0.498 0.867
0.502 0.502 0.133
0.820 0.820 0.121
0.829 0.829 0.840
0.390 0.390 0.428
0.610 0.610 0.572
```

Values from the calculation:
Total moment, μB/f.u.: 0.00
Energy of formation from the pure elements, kJ/mol of formula units: -198

***

Record 9
Below is crystalline Ti7Ga3Ge at its relaxed geometry, with properties calculated at the PBE-GGA level.

The structure in POSCAR format:
```
Ti7Ga3Ge
1.0
-2.408 4.142 4.787
2.408 -4.142 4.787
2.408 4.142 -4.787
Ti Ga Ge
7 3 1
direct
0.000 0.000 0.000
0.093 0.761 0.332
0.312 0.500 0.812
0.429 0.761 0.668
0.571 0.239 0.332
0.688 0.500 0.188
0.907 0.239 0.668
0.274 0.274 0.000
0.500 0.000 0.500
0.726 0.726 0.000
0.000 0.500 0.500
```

Values from the calculation:
Total moment, μB/f.u.: 4.30
Energy of formation from the pure elements, kJ/mol of formula units: -183

***

Record 10
Below is crystalline Ti7Ga2Ge2 at its relaxed geometry, with properties calculated at the PBE-GGA level.

The structure in POSCAR format:
```
Ti7Ga2Ge2
1.0
3.536 -4.637 0.000
3.536 4.637 0.000
0.000 0.000 6.130
Ti Ga Ge
7 2 2
direct
0.000 0.000 0.000
0.000 0.500 0.285
0.000 0.500 0.715
0.500 0.000 0.285
0.500 0.000 0.715
0.500 0.500 0.271
0.500 0.500 0.729
0.175 0.175 0.500
0.825 0.825 0.500
0.285 0.715 0.000
0.715 0.285 0.000
```

Values from the calculation:
Total moment, μB/f.u.: 1.04
Energy of formation from the pure elements, kJ/mol of formula units: -107

***

Record 11
Below is crystalline Ti6Ga5Ge at its relaxed geometry, with properties calculated at the PBE-GGA level.

The structure in POSCAR format:
```
Ti6Ga5Ge
1.0
3.471 -4.389 0.000
3.471 4.389 0.000
-1.022 0.000 6.756
Ti Ga Ge
6 5 1
direct
0.081 0.410 0.746
0.242 0.242 0.251
0.410 0.081 0.746
0.590 0.919 0.254
0.758 0.758 0.749
0.919 0.590 0.254
0.173 0.827 0.000
0.338 0.662 0.500
0.500 0.500 0.000
0.662 0.338 0.500
0.827 0.173 0.000
0.000 0.000 0.500
```

Values from the calculation:
Total moment, μB/f.u.: 0.00
Energy of formation from the pure elements, kJ/mol of formula units: -295

***

Record 12
Below is crystalline Ti2GaGe2 at its relaxed geometry, with properties calculated at the PBE-GGA level.

The structure in POSCAR format:
```
Ti2GaGe2
1.0
6.790 0.000 0.000
0.000 6.790 0.000
0.000 0.000 3.727
Ti Ga Ge
4 2 4
direct
0.167 0.333 0.000
0.333 0.833 0.000
0.667 0.167 0.000
0.833 0.667 0.000
0.000 0.000 0.000
0.500 0.500 0.000
0.137 0.637 0.500
0.363 0.137 0.500
0.637 0.863 0.500
0.863 0.363 0.500
```

Values from the calculation:
Energy relative to the lowest polymorph listed for this composition, meV per atom: 0
Total moment, μB/f.u.: 0.00
Energy of formation from the pure elements, kJ/mol of formula units: -164

***

Record 13
Below is crystalline Ti8Ga3Ge2 at its relaxed geometry, with properties calculated at the PBE-GGA level.

The structure in POSCAR format:
```
Ti8Ga3Ge2
1.0
4.268 -6.607 0.000
4.268 6.607 0.000
0.000 0.000 4.090
Ti Ga Ge
8 3 2
direct
0.113 0.887 0.000
0.125 0.388 0.500
0.360 0.640 0.000
0.388 0.125 0.500
0.612 0.875 0.500
0.640 0.360 0.000
0.875 0.612 0.500
0.887 0.113 0.000
0.259 0.259 0.000
0.500 0.500 0.500
0.741 0.741 0.000
0.236 0.764 0.500
0.764 0.236 0.500
```

Values from the calculation:
Total moment, μB/f.u.: 0.70
Energy of formation from the pure elements, kJ/mol of formula units: -302

***

Record 14
Below is crystalline Ti12Ga6Ge at its relaxed geometry, with properties calculated at the PBE-GGA level.

The structure in POSCAR format:
```
Ti12Ga6Ge
1.0
4.802 2.772 3.909
-4.802 2.772 3.909
0.000 -5.545 3.909
Ti Ga Ge
12 6 1
direct
0.023 0.304 0.936
0.064 0.977 0.696
0.124 0.357 0.447
0.304 0.936 0.023
0.357 0.447 0.124
0.447 0.124 0.357
0.553 0.876 0.643
0.643 0.553 0.876
0.696 0.064 0.977
0.876 0.643 0.553
0.936 0.023 0.304
0.977 0.696 0.064
0.223 0.765 0.377
0.235 0.623 0.777
0.377 0.223 0.765
0.623 0.777 0.235
0.765 0.377 0.223
0.777 0.235 0.623
0.500 0.500 0.500
```

Values from the calculation:
Total moment, μB/f.u.: 0.00
Energy of formation from the pure elements, kJ/mol of formula units: -486

***

Record 15
Below is crystalline TiGaGe3 at its relaxed geometry, with properties calculated at the PBE-GGA level.

The structure in POSCAR format:
```
TiGaGe3
1.0
4.831 0.000 0.000
0.000 4.831 0.000
0.000 0.000 4.831
Ti Ga Ge
1 1 3
direct
0.000 0.000 0.000
0.500 0.500 0.500
0.000 0.500 0.500
0.500 0.000 0.500
0.500 0.500 0.000
```

Values from the calculation:
Energy relative to the lowest polymorph listed for this composition, meV per atom: 600
Total moment, μB/f.u.: 0.00
Energy of formation from the pure elements, kJ/mol of formula units: 411

***

Record 16
Below is crystalline Ti2GaGe at its relaxed geometry, with properties calculated at the PBE-GGA level.

The structure in POSCAR format:
```
Ti2GaGe
1.0
5.151 0.000 0.000
0.000 3.714 0.000
-2.541 0.000 6.852
Ti Ga Ge
4 2 2
direct
0.198 0.250 0.429
0.286 0.750 0.066
0.714 0.250 0.934
0.802 0.750 0.571
0.394 0.750 0.703
0.606 0.250 0.297
0.120 0.250 0.796
0.880 0.750 0.204
```

Values from the calculation:
Total moment, μB/f.u.: 0.00
Energy of formation from the pure elements, kJ/mol of formula units: -211

***

Record 17
Below is crystalline Ti8Ga2Ge at its relaxed geometry, with properties calculated at the PBE-GGA level.

The structure in POSCAR format:
```
Ti8Ga2Ge
1.0
8.281 -2.183 0.000
8.281 2.183 0.000
-1.405 0.000 5.224
Ti Ga Ge
8 2 1
direct
0.018 0.018 0.255
0.230 0.230 0.830
0.344 0.344 0.474
0.409 0.409 0.999
0.591 0.591 0.001
0.656 0.656 0.526
0.770 0.770 0.170
0.982 0.982 0.745
0.177 0.177 0.259
0.823 0.823 0.741
0.500 0.500 0.500
```

Values from the calculation:
Total moment, μB/f.u.: 0.01
Energy of formation from the pure elements, kJ/mol of formula units: -241

***

Record 18
Below is crystalline Ti5Ga2Ge2 at its relaxed geometry, with properties calculated at the PBE-GGA level.

The structure in POSCAR format:
```
Ti5Ga2Ge2
1.0
-7.947 2.632 3.570
7.947 -2.632 3.570
7.947 2.632 -3.570
Ti Ga Ge
10 4 4
direct
0.124 0.089 0.214
0.124 0.411 0.535
0.218 0.071 0.647
0.424 0.571 0.353
0.566 0.817 0.077
0.566 0.989 0.248
0.740 0.317 0.752
0.740 0.489 0.923
0.876 0.589 0.465
0.876 0.911 0.786
0.250 0.418 0.984
0.250 0.767 0.332
0.434 0.267 0.016
0.434 0.918 0.668
0.032 0.717 0.815
0.692 0.192 0.500
0.692 0.692 0.000
0.901 0.217 0.185
```

Values from the calculation:
Total moment, μB/f.u.: 0.00
Energy of formation from the pure elements, kJ/mol of formula units: -297

***

Record 19
Below is crystalline Ti6Ga6Ge at its relaxed geometry, with properties calculated at the PBE-GGA level.

The structure in POSCAR format:
```
Ti6Ga6Ge
1.0
5.182 0.000 0.000
-2.591 4.487 0.000
0.000 0.000 9.310
Ti Ga Ge
6 6 1
direct
0.000 0.000 0.130
0.000 0.000 0.870
0.333 0.667 0.000
0.333 0.667 0.500
0.667 0.333 0.000
0.667 0.333 0.500
0.000 0.500 0.249
0.000 0.500 0.751
0.500 0.000 0.249
0.500 0.000 0.751
0.500 0.500 0.249
0.500 0.500 0.751
0.000 0.000 0.500
```

Values from the calculation:
Total moment, μB/f.u.: 0.93
Energy of formation from the pure elements, kJ/mol of formula units: -368

***

Record 20
Below is crystalline Ti2GaGe at its relaxed geometry, with properties calculated at the PBE-GGA level.

The structure in POSCAR format:
```
Ti2GaGe
1.0
1.768 1.021 6.510
-1.768 1.021 6.510
0.000 -2.041 6.510
Ti Ga Ge
2 1 1
direct
0.246 0.246 0.246
0.754 0.754 0.754
0.000 0.000 0.000
0.500 0.500 0.500
```

Values from the calculation:
Total moment, μB/f.u.: 0.00
Energy of formation from the pure elements, kJ/mol of formula units: -121